No. 1
DFT (GGA-PBE) results for a relaxed BaUPdSe4 crystal.

```
BaUPdSe4
1.0
7.1848 0.0000 -0.0735
0.0000 5.9006 0.0000
-2.9171 0.0000 8.6186
Ba U Pd Se
2 2 2 8
Cartesian
2.6686 4.4255 8.0557 Ba
1.5992 1.4752 0.4895 Ba
3.9365 4.4255 3.7700 U
0.3312 1.4752 4.7751 U
0.8438 4.4255 2.6116 Pd
3.4239 1.4752 5.9336 Pd
-1.8125 3.0355 6.1091 Se
6.0802 0.0851 2.4361 Se
6.0802 2.8652 2.4361 Se
-1.8125 5.8155 6.1091 Se
2.8793 4.4255 1.1778 Se
1.3885 1.4752 7.3674 Se
1.3990 4.4255 5.0611 Se
2.8687 1.4752 3.4840 Se
```

Magnetic moment   1.22 μB/f.u.
Formation energy without anion corrections   -1.1213 eV per atom



No. 2
DFT (GGA-PBE) results for a relaxed Y8Co2Hg crystal.

```
Y8Co2Hg
1.0
-5.0199 0.8762 1.6944
-1.3239 1.1076 -7.6602
0.4424 -7.5650 2.0573
Y Co Hg
8 2 1
Cartesian
-3.3113 0.3391 -1.4397 Y
-2.8455 -1.9480 1.1229 Y
-1.3214 -2.3171 -1.8278 Y
-5.0155 -4.5721 1.3378 Y
-5.9110 -0.1753 -3.5887 Y
-4.5820 -3.3015 -2.1136 Y
-3.0617 -3.6748 -5.0667 Y
-2.5961 -5.9612 -2.5048 Y
-3.2938 -1.1328 -3.8512 Co
-2.6104 -4.4879 -0.0920 Co
-0.0063 -0.0178 -0.0148 Hg
```

Magnetic moment   0.00 μB/f.u.
Formation energy   -0.1023 eV per atom